Here is crystalline La2PrCu2Sn4Ir2 at its relaxed geometry from OQMD. Energies are from PBE.

Volume ... 23.70 Å³ per atom
VASP energy ... -5.641 eV per atom

Lattice parameters (Å, degrees): 4.3447 4.5323 26.4731 90.00 90.00 90.00
Last column: nearest neighbours and their distance in Å.
Space group Immm (No. 71)
Asymmetric unit:
La  0.0000  0.0000  0.1543 [4 per cell]  6 Sn 3.31-3.43, 4 Ir 3.31-3.43, 4 Cu 3.49
Pr  0.0000  0.5000  0.0000 [2 per cell]  4 Cu 3.35, 8 Sn 3.45
Cu  0.0000  0.0000  0.4036 [4 per cell]  3 Sn 2.53-2.57
Sn  0.0000  0.0000  0.3066 [4 per cell]  1 Cu 2.57, 4 Ir 2.66-2.70
Sn  0.0000  0.5000  0.4461 [4 per cell]  2 Cu 2.53
Ir  0.0000  0.5000  0.2514 [4 per cell]  4 Sn 2.66-2.70